# 1
The following is a PBE calculation of a relaxed LiCa2GaPt2 crystal, from the Alexandria database.

Structure (POSCAR):
```
LiCa2GaPt2
1.0
5.840 0.000 0.000
0.000 5.986 0.000
-2.920 -2.993 7.181
Pt Ca Ga Li
4 4 2 2
direct
0.844 0.111 0.223
0.379 0.611 0.223
0.621 0.389 0.777
0.156 0.889 0.777
0.410 0.173 0.346
0.064 0.327 0.654
0.936 0.673 0.346
0.590 0.827 0.654
0.500 0.250 0.000
0.500 0.750 0.000
0.000 0.250 0.000
0.000 0.750 0.000
```

Results
Crystal system ... orthorhombic
Total DFT energy (no corrections) ... -51.7 eV for the cell shown
E_form ... -0.806 eV/atom
Symmetry ... Ibam, No. 72

***

# 2
The following is a PBE calculation of a relaxed LiCaGa2Pt crystal, from the Alexandria database.

Structure (POSCAR):
```
LiCaGa2Pt
1.0
4.277 0.000 0.000
0.000 4.277 0.000
-2.139 -2.139 5.278
Ga Pt Ca Li
2 1 1 1
direct
0.622 0.622 0.244
0.378 0.378 0.756
0.250 0.750 0.500
0.000 0.000 0.000
0.750 0.250 0.500
```

Results
Crystal system ... tetragonal
Total DFT energy (no corrections) ... -19.1 eV for the cell shown
E_form ... -0.612 eV/atom
Symmetry ... I-4m2, No. 119

***

# 3
The following is a PBE calculation of a relaxed Li2CaGa2Pt2 crystal, from the Alexandria database.

Structure (POSCAR):
```
Li2CaGa2Pt2
1.0
4.394 0.000 0.000
-2.197 3.793 -0.269
0.000 -1.858 7.872
Li Pt Ca Ga
2 2 1 2
direct
0.578 0.155 0.732
0.422 0.845 0.268
0.240 0.480 0.718
0.760 0.520 0.282
0.000 0.000 0.000
0.871 0.742 0.610
0.129 0.258 0.390
```

Results
Crystal system ... monoclinic
Total DFT energy (no corrections) ... -28.4 eV for the cell shown
E_form ... -0.635 eV/atom
Symmetry ... C2/m, No. 12

***

# 4
The following is a PBE calculation of a relaxed Li2CaGaPt crystal, from the Alexandria database.

Structure (POSCAR):
```
Li2CaGaPt
1.0
-2.011 -1.208 -4.157
1.414 -4.515 0.627
-4.121 -0.975 2.276
Li Ca Pt Ga
2 1 1 1
direct
0.000 0.500 0.000
0.500 0.000 0.000
0.500 0.500 0.500
0.000 0.000 0.000
0.000 0.000 0.500
```

Results
Crystal system ... tetragonal
Total DFT energy (no corrections) ... -16.9 eV for the cell shown
E_form ... -0.409 eV/atom
Symmetry ... P4/mmm, No. 123

***

| no. | ρ (g/cm³) |
| --- | --- |
| 1 | 7.24 |
| 2 | 6.56 |
| 3 | 7.51 |
| 4 | 4.83 |